No. 1
The following is a PBE-GGA calculation of crystalline In6Hg at its relaxed geometry, from the Alexandria database.

## Properties
E above lowest polymorph: 0.3046 eV/atom
calculated formation energy: 0.32 eV per atom

Lattice parameters (Å, degrees): 7.138 7.138 7.138 109.47 109.47 109.47
Sites, in units of the cell vectors:
1 In 0.250 0.500 0.750
2 In 0.250 0.750 0.500
3 In 0.500 0.250 0.750
4 In 0.500 0.750 0.250
5 In 0.750 0.250 0.500
6 In 0.750 0.500 0.250
7 Hg 0.000 0.000 0.000

---

No. 2
The following is a PBE-GGA calculation of crystalline K2MoH7 at its relaxed geometry, from the Alexandria database.

## Properties
uncorrected energy: -3.80 eV per atom

Lattice parameters (Å, degrees): 6.935 6.935 6.662 118.07 118.07 53.19
Sites, in units of the cell vectors:
1 K 0.150 0.189 0.145
2 K 0.189 0.150 0.645
3 K 0.811 0.850 0.355
4 K 0.850 0.811 0.855
5 Mo 0.484 0.516 0.750
6 Mo 0.516 0.484 0.250
7 H 0.192 0.600 0.197
8 H 0.198 0.802 0.750
9 H 0.224 0.466 0.570
10 H 0.336 0.539 0.948
11 H 0.400 0.808 0.303
12 H 0.461 0.664 0.552
13 H 0.466 0.224 0.070
14 H 0.534 0.776 0.930
15 H 0.539 0.336 0.448
16 H 0.600 0.192 0.697
17 H 0.664 0.461 0.052
18 H 0.776 0.534 0.430
19 H 0.802 0.198 0.250
20 H 0.808 0.400 0.803

---

No. 3
The following is a PBE-GGA calculation of crystalline VCdSn3 at its relaxed geometry, from the Alexandria database.

## Properties
E above lowest polymorph: 0.0000 eV/atom
calculated formation energy: 0.22 eV per atom

Lattice parameters (Å, degrees): 5.197 5.197 5.197 90.00 90.00 90.00
Sites, in units of the cell vectors:
1 V 0.000 0.000 0.000
2 Cd 0.500 0.500 0.500
3 Sn 0.000 0.000 0.500
4 Sn 0.000 0.500 0.000
5 Sn 0.500 0.000 0.000

---

No. 4
The following is a PBE-GGA calculation of crystalline Tb4Pr3Ru4 at its relaxed geometry, from the Alexandria database.

## Properties
calculated formation energy: -0.20 eV per atom

Lattice parameters (Å, degrees): 9.393 9.393 9.393 156.75 122.59 62.78
Sites, in units of the cell vectors:
1 Tb 0.021 0.833 0.188
2 Tb 0.355 0.167 0.188
3 Tb 0.645 0.833 0.812
4 Tb 0.979 0.167 0.812
5 Pr 0.000 0.500 0.500
6 Pr 0.398 0.398 0.000
7 Pr 0.602 0.602 0.000
8 Ru 0.249 0.749 0.500
9 Ru 0.272 0.000 0.272
10 Ru 0.728 0.000 0.728
11 Ru 0.751 0.251 0.500

---

Repeat the first record exactly.
The following is a PBE-GGA calculation of crystalline In6Hg at its relaxed geometry, from the Alexandria database.

## Properties
E above lowest polymorph: 0.3046 eV/atom
calculated formation energy: 0.32 eV per atom

Lattice parameters (Å, degrees): 7.138 7.138 7.138 109.47 109.47 109.47
Sites, in units of the cell vectors:
1 In 0.250 0.500 0.750
2 In 0.250 0.750 0.500
3 In 0.500 0.250 0.750
4 In 0.500 0.750 0.250
5 In 0.750 0.250 0.500
6 In 0.750 0.500 0.250
7 Hg 0.000 0.000 0.000